Tm2TlWO8 (PBE with a Hubbard U, relaxed); magnetic moment = 0.98 μB/cell; calculated total energy = -85.43 eV/cell; SG = Cmmm, No. 65
1.0
3.4130 -3.5554 0.0000
3.4130 3.5554 0.0000
0.0000 0.0000 6.9957
Tm Tl W O
2 1 1 8
Direct
0.0000 0.0000 0.2490
0.0000 0.0000 0.7510
0.5000 0.5000 0.5000
0.5000 0.5000 0.0000
0.1968 0.1968 0.5000
0.2132 0.2132 0.0000
0.3104 0.6896 0.2009
0.3104 0.6896 0.7991
0.6896 0.3104 0.2009
0.6896 0.3104 0.7991
0.7868 0.7868 0.0000
0.8032 0.8032 0.5000